# 1
# GGA-PBE CaBe2MoPb, optimized geometry
data_CaBe2MoPb
_chemical_formula_sum 'Ca1 Be2 Mo1 Pb1'
_space_group_name_H-M_alt 'P 4/m m m'
_space_group_IT_number 123
_space_group_name_Hall '-P 4 2'
_cell_length_a 4.886
_cell_length_b 4.886
_cell_length_c 4.749
_cell_angle_alpha 90.00
_cell_angle_beta 90.00
_cell_angle_gamma 90.00
loop_
_atom_site_label
_atom_site_fract_x
_atom_site_fract_y
_atom_site_fract_z
Ca1 0.000 0.000 0.000
Be1 0.000 0.500 0.000
Mo1 0.000 0.000 0.500
Pb1 0.500 0.500 0.500
# E_form: 2.029 eV/atom
# Fermi-level density of states: 1.11 states/eV per atom

---

# 2
# GGA-PBE Tb12NdIn6, optimized geometry
data_Tb12NdIn6
_chemical_formula_sum 'Tb36 Nd3 In18'
_space_group_name_H-M_alt 'R -3 m'
_space_group_IT_number 166
_space_group_name_Hall '-R 3 2"'
_cell_length_a 13.8988
_cell_length_b 13.8988
_cell_length_c 11.2971
_cell_angle_alpha 90.00
_cell_angle_beta 90.00
_cell_angle_gamma 120.00
loop_
_atom_site_label
_atom_site_fract_x
_atom_site_fract_y
_atom_site_fract_z
Tb1 0.0000 0.3796 0.0000
Tb2 0.0889 0.1779 0.8554
Nd1 0.0000 0.0000 0.5000
In1 0.0274 0.5137 0.7681
# E_form: -0.048 eV/atom
# Fermi-level density of states: 1.54 states/eV per atom

---

Q: The highest Fermi-level density of states belongs to which entry?
A: Tb12NdIn6

---

Q: Which value of Fermi-level density of states does entry 2 give?
A: 1.54 states/eV per atom

---

Q: What is the E_form in the first record?
A: 2.029 eV/atom